Entry from OQMD via LeMat-Bulk: a relaxed structure of LuAlFe (PBE-GGA).

Summary:
- E_tot: -69.6 eV/cell

Lattice parameters (Å, degrees): 6.729 3.842 7.902 90.00 90.00 90.00
Atoms (fractional coordinates):
Al (0.136, 0.750, 0.055)
Al (0.636, 0.750, 0.445)
Al (0.364, 0.250, 0.555)
Al (0.864, 0.250, 0.945)
Fe (0.768, 0.750, 0.136)
Fe (0.268, 0.750, 0.364)
Fe (0.732, 0.250, 0.636)
Fe (0.232, 0.250, 0.864)
Lu (0.467, 0.250, 0.174)
Lu (0.967, 0.250, 0.326)
Lu (0.033, 0.750, 0.674)
Lu (0.533, 0.750, 0.826)